Record 1
Computed, not measured: a relaxed PaMnIn2S6 crystal at the PBE-GGA level of DFT. Values from VASP.

Structure (Quantum ESPRESSO input):
```
&SYSTEM
  ibrav = 0, nat = 20, ntyp = 4
/
ATOMIC_SPECIES
Pa 231.04 Pa.upf
S 32.06 S.upf
Mn 54.94 Mn.upf
In 114.82 In.upf
ATOMIC_POSITIONS angstrom
Pa 7.129 0.215 7.924
Pa 3.793 7.893 0.490
S 8.701 2.432 7.753
S 9.049 5.860 4.374
S 2.798 1.632 0.551
S 4.789 7.600 6.744
S 6.133 0.507 1.670
S 5.713 4.136 5.999
S 5.366 7.640 2.699
S 8.124 6.475 7.863
S 1.874 2.248 4.040
S 5.556 0.468 5.714
S 5.209 3.971 2.414
S 2.221 5.676 0.661
Mn 3.793 0.935 7.195
Mn 7.129 7.173 1.219
In 8.241 4.144 5.986
In 2.681 3.963 2.428
In 4.906 5.811 4.345
In 6.016 2.297 4.069
CELL_PARAMETERS angstrom
6.671 0.035 0.036
2.126 8.748 -0.352
2.126 -0.676 8.729
```

Calculated volume: 253.2 Å³/f.u.
Magnetic moment: 3.96 μB/f.u.
Formation energy (no corrections): -800 meV/atom


Record 2
Computed, not measured: a relaxed PaMnInSe4 crystal at the PBE-GGA level of DFT. Values from VASP.

Structure (Quantum ESPRESSO input):
```
&SYSTEM
  ibrav = 0, nat = 14, ntyp = 4
/
ATOMIC_SPECIES
Se 78.96 Se.upf
In 114.82 In.upf
Mn 54.94 Mn.upf
Pa 231.04 Pa.upf
ATOMIC_POSITIONS angstrom
Se 1.871 -2.352 6.588
Se 0.696 2.188 3.941
Se -3.163 1.570 4.543
Se -1.645 5.045 4.569
Se -0.414 -2.956 8.650
Se 3.389 1.123 6.614
Se 0.640 5.648 2.507
Se -0.470 0.505 7.216
In -1.175 1.354 1.624
In 1.400 1.339 9.533
Mn 2.109 3.001 5.746
Mn -1.884 -0.308 5.411
Pa -1.733 2.962 6.536
Pa 1.958 -0.270 4.621
CELL_PARAMETERS angstrom
-1.129 6.653 0.696
-4.846 -1.280 4.373
6.201 -2.680 6.088
```

Calculated volume: 193.4 Å³/f.u.
Magnetic moment: 5.08 μB/f.u.
Formation energy (no corrections): -806 meV/atom


Record order is preserved below.
Fermi-level density of states: 0.4225; 0.1519 states/eV/atom